Entry 1:
# MoP3Au

MoP3Au after structural relaxation (PBE-GGA, the Alexandria database).

Values from the calculation:
The formation energy from the elements is 1.6210 eV/atom. The total energy is -0.1634 Ha/atom. For the energy above the most stable polymorph in this dataset, the calculation gives 998.0 meV/atom. The total magnetization is 0.000 μB per atom.

Cell: 4.683 4.683 4.683 Å, 90.00 90.00 90.00°
Atoms (fractional coordinates):
P1 0.500 0.000 0.000
P2 0.000 0.000 0.500
P3 0.000 0.500 0.000
Mo1 0.500 0.500 0.500
Au1 0.000 0.000 0.000

---

Entry 2:
# CeCrS3

CeCrS3 after structural relaxation (PBE-GGA, the Alexandria database).

Values from the calculation:
The total energy is -0.2555 Ha/atom. For the energy above the most stable polymorph in this dataset, the calculation gives 0.0 meV/atom. The total magnetization is 0.771 μB per atom. As for the raw formation energy: -6.8 eV/f.u.

Cell: 3.770 7.778 12.917 Å, 90.00 90.00 90.00°
Site moments in Bohr magnetons follow the coordinates.
Atoms (fractional coordinates):
S1 0.250 0.487 0.893  -0.08
S2 0.750 0.513 0.107  -0.08
S3 0.250 0.840 0.007  -0.06
S4 0.750 0.660 0.507  -0.06
S5 0.250 0.340 0.493  -0.06
S6 0.250 0.987 0.607  -0.08
S7 0.750 0.308 0.715  -0.04
S8 0.750 0.808 0.785  -0.04
S9 0.250 0.192 0.215  -0.04
S10 0.750 0.013 0.393  -0.08
S11 0.250 0.692 0.285  -0.04
S12 0.750 0.160 0.993  -0.06
Ce1 0.750 0.413 0.327  0.86
Ce2 0.750 0.913 0.173  0.86
Ce3 0.250 0.587 0.673  0.86
Ce4 0.250 0.087 0.827  0.86
Cr1 0.250 0.837 0.447  2.85
Cr2 0.250 0.337 0.053  2.85
Cr3 0.750 0.163 0.553  2.85
Cr4 0.750 0.663 0.947  2.85

---

Entry 3:
# TaAsPb2

TaAsPb2 after structural relaxation (PBE-GGA, the Alexandria database).

Values from the calculation:
The formation energy from the elements is 0.0151 eV/atom. The total energy is -0.2192 Ha/atom. The total magnetization is 0.000 μB per atom.

Cell: 3.390 3.390 8.595 Å, 90.00 90.00 90.00°
Atoms (fractional coordinates):
Pb1 0.000 0.000 0.951
Pb2 0.500 0.500 0.301
As1 0.500 0.500 0.685
Ta1 0.000 0.000 0.563

---

Entry 4:
# Pr2ZrP3

Pr2ZrP3 after structural relaxation (PBE-GGA, the Alexandria database).

Values from the calculation:
The formation energy from the elements is -1.3673 eV/atom. The total energy is -0.2606 Ha/atom. The total magnetization is 0.000 μB per atom.

Cell: 9.003 9.003 9.003 Å, 153.91 153.91 37.23°
Atoms (fractional coordinates):
P1 0.157 0.157 0.000
P2 0.500 0.500 0.000
P3 0.843 0.843 0.000
Pr1 0.334 0.334 0.000
Pr2 0.666 0.666 0.000
Zr1 0.000 0.000 0.000

---

Entry 5:
# CrSi2Ag

CrSi2Ag after structural relaxation (PBE-GGA, the Alexandria database).

Values from the calculation:
The total energy is -0.2083 Ha/atom. For the energy above the most stable polymorph in this dataset, the calculation gives 15.2 meV/atom. The total magnetization is 0.257 μB per atom. As for the raw formation energy: 0.7 eV/f.u.

Cell: 4.272 4.272 5.104 Å, 80.17 80.17 40.85°
Site moments in Bohr magnetons follow the coordinates.
Atoms (fractional coordinates):
Si1 0.482 0.482 0.570  -0.02
Si2 0.018 0.018 0.930  -0.02
Cr1 0.750 0.750 0.750  1.04
Ag1 0.250 0.250 0.250  0.00